(1)
A plane-wave DFT calculation with PBE was carried out for an optimized crystal structure of VSn.

Values from the calculation:
- Energy of formation from the pure elements: 0.41 eV per atom

Unit cell a=5.108 b=8.626 c=14.139 alpha=90.00 beta=90.00 gamma=90.00
Space group Fddd (No. 70, origin choice 2)
Asymmetric unit:
V1 0.125 0.125 0.050
Sn1 0.125 0.293 0.625


(2)
A plane-wave DFT calculation with PBE was carried out for an optimized crystal structure of RbCrCuPd2.

Values from the calculation:
- Energy of formation from the pure elements: 1.14 eV per atom

Unit cell a=4.797 b=4.797 c=6.083 alpha=90.00 beta=90.00 gamma=90.00
Space group P4/mmm (No. 123)
Asymmetric unit:
Rb1 0.000 0.000 0.000
Cr1 0.000 0.000 0.500
Cu1 0.500 0.500 0.000
Pd1 0.000 0.500 0.500


(3)
A plane-wave DFT calculation with PBE was carried out for an optimized crystal structure of PaBeTe2O8.

Values from the calculation:
- Formation energy (no corrections): -21.9 eV/f.u.

Unit cell a=5.343 b=5.610 c=6.702 alpha=82.46 beta=78.79 gamma=83.51
Space group P-1 (No. 2)
Asymmetric unit:
Pa1 0.000 0.000 0.000
Be1 0.000 0.000 0.500
Te1 0.500 0.491 0.740
O1 0.103 0.038 0.277
O2 0.263 0.257 0.819
O3 0.312 0.695 0.958
O4 0.335 0.688 0.532


(4)
A plane-wave DFT calculation with PBE was carried out for an optimized crystal structure of TaTlO3.

Values from the calculation:
- Formation energy (no corrections): -11.3 eV/f.u.

Unit cell a=13.179 b=7.615 c=13.185 alpha=90.00 beta=109.76 gamma=90.00
Space group C2/c (No. 15)
Asymmetric unit:
Ta1 0.000 0.000 0.000
Ta2 0.000 0.247 0.250
Ta3 0.000 0.500 0.000
Ta4 0.250 0.250 0.500
Tl1 0.000 0.264 0.750
Tl2 0.240 0.064 0.758
Tl3 0.250 0.250 0.000
O1 0.028 0.066 0.154
O2 0.030 0.250 0.970
O3 0.033 0.435 0.157
O4 0.154 0.434 0.528
O5 0.155 0.246 0.345
O6 0.157 0.065 0.534